Entry 1:
# KTlFe | Alexandria via LeMat-Bulk | PBE | optimized geometry
# energy = -9.93 eV/f.u.
# energy relative to the elements = 664 meV/atom
# D(E_F) = 3.7 states/eV/f.u.
data_KTlFe
_chemical_formula_sum 'K1 Tl1 Fe1'
_cell_length_a 4.5643
_cell_length_b 4.5643
_cell_length_c 5.4675
_cell_angle_alpha 90.00
_cell_angle_beta 90.00
_cell_angle_gamma 120.00
_space_group_name_H-M_alt 'P -6 m 2'
_space_group_IT_number 187
_space_group_name_Hall 'P -6 2'
loop_
_atom_site_label
_atom_site_type_symbol
_atom_site_fract_x
_atom_site_fract_y
_atom_site_fract_z
K1 K 0.0000 0.0000 0.0000
Tl1 Tl 0.6667 0.3333 0.5000
Fe1 Fe 0.3333 0.6667 0.5000



Entry 2:
# SiAg2H | Alexandria via LeMat-Bulk | PBE | optimized geometry
# energy = -12.71 eV/f.u.
# D(E_F) = 0.9 states/eV/f.u.
data_SiAg2H
_chemical_formula_sum 'Si4 Ag8 H4'
_cell_length_a 5.332
_cell_length_b 5.332
_cell_length_c 8.977
_cell_angle_alpha 90.00
_cell_angle_beta 90.00
_cell_angle_gamma 90.00
_space_group_name_H-M_alt 'I -4 2 d'
_space_group_IT_number 122
_space_group_name_Hall 'I -4 2bw'
loop_
_atom_site_label
_atom_site_type_symbol
_atom_site_fract_x
_atom_site_fract_y
_atom_site_fract_z
Si1 Si 0.000 0.000 0.000
Ag1 Ag 0.153 0.250 0.625
H1 H 0.000 0.000 0.500



Entry 3:
# Pr5HoSn5 | Alexandria via LeMat-Bulk | PBE | optimized geometry
# energy = -53.71 eV/f.u.
# energy relative to the elements = -475 meV/atom
# D(E_F) = 10.7 states/eV/f.u.
data_Pr5HoSn5
_chemical_formula_sum 'Pr10 Ho2 Sn10'
_cell_length_a 14.735
_cell_length_b 6.367
_cell_length_c 8.604
_cell_angle_alpha 90.00
_cell_angle_beta 107.45
_cell_angle_gamma 90.00
_space_group_name_H-M_alt 'C 1 2/m 1'
_space_group_IT_number 12
loop_
_space_group_symop_operation_xyz
'x,y,z'
'-x,-y,-z'
'-x,y,-z'
'x,-y,z'
'x+1/2,y+1/2,z'
'-x+1/2,-y+1/2,-z'
'-x+1/2,y+1/2,-z'
'x+1/2,-y+1/2,z'
loop_
_atom_site_label
_atom_site_type_symbol
_atom_site_fract_x
_atom_site_fract_y
_atom_site_fract_z
Pr1 Pr 0.000 0.000 0.000
Pr2 Pr 0.165 0.500 0.329
Pr3 Pr 0.172 0.500 0.831
Ho1 Ho 0.000 0.000 0.500
Sn1 Sn 0.000 0.500 0.500
Sn2 Sn 0.162 0.000 0.338
Sn3 Sn 0.162 0.000 0.829



Entry 4:
# Pr3Sc2Tl3 | Alexandria via LeMat-Bulk | PBE | optimized geometry
# energy = -36.12 eV/f.u.
# energy relative to the elements = -253 meV/atom
# D(E_F) = 11.4 states/eV/f.u.
data_Pr3Sc2Tl3
_chemical_formula_sum 'Pr6 Sc4 Tl6'
_cell_length_a 4.448
_cell_length_b 5.000
_cell_length_c 20.681
_cell_angle_alpha 90.00
_cell_angle_beta 90.00
_cell_angle_gamma 90.00
_space_group_name_H-M_alt 'I m m m'
_space_group_IT_number 71
_space_group_name_Hall '-I 2 2'
loop_
_atom_site_label
_atom_site_type_symbol
_atom_site_fract_x
_atom_site_fract_y
_atom_site_fract_z
Pr1 Pr 0.000 0.000 0.000
Pr2 Pr 0.000 0.500 0.124
Sc1 Sc 0.000 0.000 0.242
Tl1 Tl 0.000 0.000 0.500
Tl2 Tl 0.000 0.500 0.355



Entry 5:
# ZrSnBi3 | Alexandria via LeMat-Bulk | PBE | optimized geometry
# energy = -19.15 eV/f.u.
# energy relative to the elements = 1008 meV/atom
# D(E_F) = 5.3 states/eV/f.u.
data_ZrSnBi3
_chemical_formula_sum 'Zr1 Sn1 Bi3'
_cell_length_a 5.668
_cell_length_b 5.668
_cell_length_c 5.668
_cell_angle_alpha 90.00
_cell_angle_beta 90.00
_cell_angle_gamma 90.00
_space_group_name_H-M_alt 'P m -3 m'
_space_group_IT_number 221
_space_group_name_Hall '-P 4 2 3'
loop_
_atom_site_label
_atom_site_type_symbol
_atom_site_fract_x
_atom_site_fract_y
_atom_site_fract_z
Zr1 Zr 0.000 0.000 0.000
Sn1 Sn 0.500 0.500 0.500
Bi1 Bi 0.000 0.500 0.500



Entry 6:
# MnNiMo2 | Alexandria via LeMat-Bulk | PBE | optimized geometry
# energy = -36.30 eV/f.u.
# energy relative to the elements = 79 meV/atom
# D(E_F) = 3.8 states/eV/f.u.
data_MnNiMo2
_chemical_formula_sum 'Mn2 Ni2 Mo4'
_cell_length_a 3.829
_cell_length_b 3.829
_cell_length_c 7.269
_cell_angle_alpha 90.00
_cell_angle_beta 90.00
_cell_angle_gamma 90.00
_space_group_name_H-M_alt 'I 4/m m m'
_space_group_IT_number 139
_space_group_name_Hall '-I 4 2'
loop_
_atom_site_label
_atom_site_type_symbol
_atom_site_fract_x
_atom_site_fract_y
_atom_site_fract_z
Mn1 Mn 0.000 0.000 0.000
Ni1 Ni 0.000 0.000 0.500
Mo1 Mo 0.000 0.500 0.250



Entry 7:
# NdGe2Pd | Alexandria via LeMat-Bulk | PBE | optimized geometry
# energy = -22.20 eV/f.u.
# energy relative to the elements = -751 meV/atom
# D(E_F) = 1.5 states/eV/f.u.
data_NdGe2Pd
_chemical_formula_sum 'Nd8 Ge16 Pd8'
_cell_length_a 13.935
_cell_length_b 4.332
_cell_length_c 10.968
_cell_angle_alpha 90.00
_cell_angle_beta 90.00
_cell_angle_gamma 90.00
_space_group_name_H-M_alt 'P n m a'
_space_group_IT_number 62
loop_
_space_group_symop_operation_xyz
'x,y,z'
'-x,-y,-z'
'-x+1/2,-y,z+1/2'
'x+1/2,y,-z+1/2'
'x+1/2,-y+1/2,-z+1/2'
'-x+1/2,y+1/2,z+1/2'
'-x,y+1/2,-z'
'x,-y+1/2,z'
loop_
_atom_site_label
_atom_site_type_symbol
_atom_site_fract_x
_atom_site_fract_y
_atom_site_fract_z
Nd1 Nd 0.044 0.250 0.245
Nd2 Nd 0.204 0.750 0.517
Ge1 Ge 0.039 0.250 0.535
Ge2 Ge 0.118 0.250 0.742
Ge3 Ge 0.129 0.750 0.021
Ge4 Ge 0.200 0.750 0.233
Pd1 Pd 0.056 0.250 0.955
Pd2 Pd 0.212 0.750 0.804



Entry 8:
# Y3Zn2Si4 | Alexandria via LeMat-Bulk | PBE | optimized geometry
# energy = -49.57 eV/f.u.
# ΔE_f (raw) = -660 meV/atom
# D(E_F) = 3.3 states/eV/f.u.
data_Y3Zn2Si4
_chemical_formula_sum 'Y6 Zn4 Si8'
_cell_length_a 10.693
_cell_length_b 4.097
_cell_length_c 8.085
_cell_angle_alpha 90.00
_cell_angle_beta 101.17
_cell_angle_gamma 90.00
_space_group_name_H-M_alt 'C 1 2/m 1'
_space_group_IT_number 12
loop_
_space_group_symop_operation_xyz
'x,y,z'
'-x,-y,-z'
'-x,y,-z'
'x,-y,z'
'x+1/2,y+1/2,z'
'-x+1/2,-y+1/2,-z'
'-x+1/2,y+1/2,-z'
'x+1/2,-y+1/2,z'
loop_
_atom_site_label
_atom_site_type_symbol
_atom_site_fract_x
_atom_site_fract_y
_atom_site_fract_z
Y1 Y 0.000 0.000 0.000
Y2 Y 0.165 0.500 0.671
Zn1 Zn 0.111 0.500 0.279
Si1 Si 0.059 0.000 0.392
Si2 Si 0.220 0.500 0.053



Entry 9:
# Sm6HoEr3 | Alexandria via LeMat-Bulk | PBE | optimized geometry
# energy = -45.30 eV/f.u.
# energy relative to the elements = 128 meV/atom
# D(E_F) = 16.2 states/eV/f.u.
data_Sm6HoEr3
_chemical_formula_sum 'Sm24 Ho4 Er12'
_cell_length_a 9.735
_cell_length_b 21.163
_cell_length_c 6.389
_cell_angle_alpha 90.00
_cell_angle_beta 90.00
_cell_angle_gamma 90.00
_space_group_name_H-M_alt 'C m c 21'
_space_group_IT_number 36
loop_
_space_group_symop_operation_xyz
'x,y,z'
'-x,-y,z+1/2'
'-x,y,z'
'x,-y,z+1/2'
'x+1/2,y+1/2,z'
'-x+1/2,-y+1/2,z+1/2'
'-x+1/2,y+1/2,z'
'x+1/2,-y+1/2,z+1/2'
loop_
_atom_site_label
_atom_site_type_symbol
_atom_site_fract_x
_atom_site_fract_y
_atom_site_fract_z
Sm1 Sm 0.000 0.016 0.000
Sm2 Sm 0.000 0.301 0.024
Sm3 Sm 0.175 0.281 0.493
Sm4 Sm 0.181 0.440 0.247
Ho1 Ho 0.000 0.159 0.802
Er1 Er 0.000 0.419 0.726
Er2 Er 0.168 0.126 0.327



Entry 10:
# CoAu2Br | Alexandria via LeMat-Bulk | PBE | optimized geometry
# energy = -13.19 eV/f.u.
# ΔE_f (raw) = 536 meV/atom
# D(E_F) = 6.2 states/eV/f.u.
data_CoAu2Br
_chemical_formula_sum 'Co2 Au4 Br2'
_cell_length_a 3.772
_cell_length_b 3.772
_cell_length_c 11.834
_cell_angle_alpha 90.00
_cell_angle_beta 90.00
_cell_angle_gamma 90.00
_space_group_name_H-M_alt 'I 4/m m m'
_space_group_IT_number 139
_space_group_name_Hall '-I 4 2'
loop_
_atom_site_label
_atom_site_type_symbol
_atom_site_fract_x
_atom_site_fract_y
_atom_site_fract_z
Co1 Co 0.000 0.000 0.000
Au1 Au 0.000 0.500 0.250
Br1 Br 0.000 0.000 0.500



Entry 11:
# RbTiAg2Mo | Alexandria via LeMat-Bulk | PBE | optimized geometry
# energy = -16.17 eV/f.u.
# energy relative to the elements = 1845 meV/atom
# D(E_F) = 4.6 states/eV/f.u.
data_RbTiAg2Mo
_chemical_formula_sum 'Rb1 Ti1 Ag2 Mo1'
_cell_length_a 5.157
_cell_length_b 5.157
_cell_length_c 5.715
_cell_angle_alpha 90.00
_cell_angle_beta 90.00
_cell_angle_gamma 90.00
_space_group_name_H-M_alt 'P 4/m m m'
_space_group_IT_number 123
_space_group_name_Hall '-P 4 2'
loop_
_atom_site_label
_atom_site_type_symbol
_atom_site_fract_x
_atom_site_fract_y
_atom_site_fract_z
Rb1 Rb 0.000 0.000 0.000
Ti1 Ti 0.000 0.000 0.500
Ag1 Ag 0.000 0.500 0.500
Mo1 Mo 0.500 0.500 0.000



Entry 12:
# Ba2PmAlTe5 | Alexandria via LeMat-Bulk | PBE | optimized geometry
# energy = -40.15 eV/f.u.
# ΔE_f (raw) = -1344 meV/atom
data_Ba2PmAlTe5
_chemical_formula_sum 'Ba8 Pm4 Al4 Te20'
_cell_length_a 4.539
_cell_length_b 20.601
_cell_length_c 14.402
_cell_angle_alpha 90.00
_cell_angle_beta 90.00
_cell_angle_gamma 90.00
_space_group_name_H-M_alt 'C m c 21'
_space_group_IT_number 36
loop_
_space_group_symop_operation_xyz
'x,y,z'
'-x,-y,z+1/2'
'-x,y,z'
'x,-y,z+1/2'
'x+1/2,y+1/2,z'
'-x+1/2,-y+1/2,z+1/2'
'-x+1/2,y+1/2,z'
'x+1/2,-y+1/2,z+1/2'
loop_
_atom_site_label
_atom_site_type_symbol
_atom_site_fract_x
_atom_site_fract_y
_atom_site_fract_z
Ba1 Ba 0.000 0.121 0.000
Ba2 Ba 0.000 0.123 0.641
Pm1 Pm 0.000 0.204 0.340
Al1 Al 0.000 0.438 0.739
Te1 Te 0.000 0.043 0.344
Te2 Te 0.000 0.297 0.988
Te3 Te 0.000 0.314 0.683
Te4 Te 0.000 0.353 0.322
Te5 Te 0.000 0.500 0.082